# CuAsPd (PBE, relaxed)
data_CuAsPd
_chemical_formula_sum 'Cu1 As1 Pd1'
_symmetry_space_group_name_H-M 'P -6 m 2'
_symmetry_Int_Tables_number 187
_symmetry_space_group_name_Hall 'P -6 2'
_cell_length_a 4.2086
_cell_length_b 4.2086
_cell_length_c 2.9693
_cell_angle_alpha 90.00
_cell_angle_beta 90.00
_cell_angle_gamma 120.00
loop_
_atom_site_label
_atom_site_type_symbol
_atom_site_fract_x
_atom_site_fract_y
_atom_site_fract_z
Cu1 Cu 0.0000 0.0000 0.0000
As1 As 0.3333 0.6667 0.0000
Pd1 Pd 0.6667 0.3333 0.5000
# DFT formation energy ... -0.075 eV per atom
# Density of states at the Fermi level ... 1.8 states/eV per cell
# Density ... 8.93 Mg/m³
# Volume ... 15.18 Å³ per atom
# Spin magnetization ... 0.000 μB/cell

# Rb3CoPb (PBE, relaxed)
data_Rb3CoPb
_chemical_formula_sum 'Rb3 Co1 Pb1'
_symmetry_space_group_name_H-M 'P m -3 m'
_symmetry_Int_Tables_number 221
_symmetry_space_group_name_Hall '-P 4 2 3'
_cell_length_a 6.500
_cell_length_b 6.500
_cell_length_c 6.500
_cell_angle_alpha 90.00
_cell_angle_beta 90.00
_cell_angle_gamma 90.00
loop_
_atom_site_label
_atom_site_type_symbol
_atom_site_fract_x
_atom_site_fract_y
_atom_site_fract_z
Rb1 Rb 0.000 0.000 0.500
Co1 Co 0.000 0.000 0.000
Pb1 Pb 0.500 0.500 0.500
# DFT formation energy ... 0.761 eV per atom
# Density of states at the Fermi level ... 7.4 states/eV per cell
# Density ... 3.16 Mg/m³
# Volume ... 54.92 Å³ per atom
# Excess energy over the best structure of this formula in the dataset ... 0.0 meV/atom
# Spin magnetization ... 0.118 μB/cell

# Sr2TcHg (PBE, relaxed)
data_Sr2TcHg
_chemical_formula_sum 'Sr2 Tc1 Hg1'
_symmetry_space_group_name_H-M 'P 4 m m'
_symmetry_Int_Tables_number 99
_symmetry_space_group_name_Hall 'P 4 -2'
_cell_length_a 3.740
_cell_length_b 3.740
_cell_length_c 8.820
_cell_angle_alpha 90.00
_cell_angle_beta 90.00
_cell_angle_gamma 90.00
loop_
_atom_site_label
_atom_site_type_symbol
_atom_site_fract_x
_atom_site_fract_y
_atom_site_fract_z
Sr1 Sr 0.000 0.000 0.000
Sr2 Sr 0.500 0.500 0.411
Tc1 Tc 0.000 0.000 0.654
Hg1 Hg 0.500 0.500 0.764
# DFT formation energy ... 0.397 eV per atom
# Density of states at the Fermi level ... 4.9 states/eV per cell
# Density ... 6.38 Mg/m³
# Volume ... 30.84 Å³ per atom
# Spin magnetization ... 0.001 μB/cell